This record from the Alexandria database describes a geometry-optimized Pr6Y3Ho2Er structure. The functional is PBE-GGA.

Unit cell a=6.3108 b=6.3108 c=11.8864 alpha=95.07 beta=95.07 gamma=120.00
Atoms (fractional coordinates):
Er 0.0000 0.0000 0.0000
Ho 0.6667 0.3333 0.0000
Pr 0.7500 0.7500 0.2483
Pr 0.4164 0.0833 0.2483
Pr 0.0833 0.4164 0.2483
Pr 0.5836 0.9167 0.7517
Y 0.8334 0.1666 0.5000
Pr 0.2500 0.2500 0.7517
Y 0.5000 0.5000 0.5000
Y 0.1666 0.8334 0.5000
Pr 0.9167 0.5836 0.7517
Ho 0.3333 0.6667 0.0000

**DOS at the Fermi energy**: 1.0985 states/eV per atom
**Formation energy from the elements**: 0.9 kJ per mole of atoms
**Raw total energy**: -5.14 eV per atom


This record from the Alexandria database describes a geometry-optimized Tb4TlBi structure. The functional is PBE-GGA.

Unit cell a=6.6901 b=9.2247 c=7.9534 alpha=113.19 beta=99.44 gamma=116.27
Atoms (fractional coordinates):
Bi 0.3625 0.6125 0.2251
Tb 0.7693 0.7123 0.6144
Tl 0.7428 0.9928 0.9856
Tb 0.1178 0.2094 0.8120
Tl 0.2572 0.0072 0.0144
Tb 0.2307 0.2877 0.3856
Tb 0.8059 0.3974 0.1880
Tb 0.1941 0.6026 0.8120
Tb 0.3450 0.9021 0.6144
Bi 0.6375 0.3875 0.7749
Tb 0.6550 0.0979 0.3856
Tb 0.8822 0.7906 0.1880

**DOS at the Fermi energy**: 1.2986 states/eV per atom
**Formation energy from the elements**: -33.8 kJ per mole of atoms
**Raw total energy**: -4.48 eV per atom


This record from the Alexandria database describes a geometry-optimized RbBaCl2 structure. The functional is PBE-GGA.

Unit cell a=9.8037 b=9.8037 c=9.8037 alpha=29.52 beta=29.52 gamma=29.52
Atoms (fractional coordinates):
Cl 0.8787 0.8787 0.8787
Ba 0.5000 0.5000 0.5000
Cl 0.1213 0.1213 0.1213
Rb 0.0000 0.0000 0.0000

**Polymorph energy (0 for the lowest one)**: 0.000 kcal/mol of atoms
**DOS at the Fermi energy**: 0.3312 states/eV per atom
**Raw total energy**: -3.48 eV per atom
**Formation energy without anion corrections**: -1831 meV/atom


This record from the Alexandria database describes a geometry-optimized Ac3Pd2Pb4 structure. The functional is PBE-GGA.

Unit cell a=4.8833 b=6.5561 c=9.4500 alpha=101.16 beta=90.00 gamma=111.87
Atoms (fractional coordinates):
Pb 0.0845 0.1690 0.3833
Pd 0.2932 0.5864 0.5974
Pb 0.7058 0.4115 0.0870
Pb 0.2942 0.5885 0.9130
Pb 0.9155 0.8310 0.6167
Ac 0.0000 0.0000 0.0000
Ac 0.6287 0.2574 0.6904
Ac 0.3713 0.7426 0.3096
Pd 0.7068 0.4136 0.4026

**Polymorph energy (0 for the lowest one)**: 0.000 kcal/mol of atoms
**DOS at the Fermi energy**: 0.5826 states/eV per atom
**Formation energy from the elements**: -56.8 kJ per mole of atoms
**Raw total energy**: -4.76 eV per atom


This record from the Alexandria database describes a geometry-optimized AcC3N6 structure. The functional is PBE-GGA.

Unit cell a=4.1964 b=6.9956 c=6.9956 alpha=116.11 beta=101.53 gamma=101.53
Last column: magnetic moment on the atom in μB.
Atoms (fractional coordinates):
C 0.5237 0.5574 0.5574  -0.07
C 0.9663 0.0000 0.4426  -0.07
C 0.9663 0.4426 0.0000  -0.07
N 0.8580 0.0000 0.2640  0.40
N 0.4645 0.3830 0.3830  0.36
N 0.0815 0.6170 0.0000  0.36
N 0.0815 0.0000 0.6170  0.36
Ac 0.2674 0.0000 0.0000  0.00
N 0.8580 0.2640 0.0000  0.40
N 0.5939 0.7360 0.7360  0.40

**DOS at the Fermi energy**: 0.3497 states/eV per atom
**Raw total energy**: -8.09 eV per atom
**Formation energy without anion corrections**: 87 meV/atom


This record from the Alexandria database describes a geometry-optimized CeMnVP2 structure. The functional is PBE-GGA.

Unit cell a=3.7329 b=3.7329 c=6.4140 alpha=106.92 beta=106.92 gamma=90.00
Last column: magnetic moment on the atom in μB.
Atoms (fractional coordinates):
P 0.6274 0.6274 0.2549  -0.01
Ce 0.0000 0.0000 0.0000  0.39
P 0.3726 0.3726 0.7451  -0.01
V 0.7500 0.2500 0.5000  -0.48
Mn 0.2500 0.7500 0.5000  2.02

**DOS at the Fermi energy**: 1.1855 states/eV per atom
**Formation energy from the elements**: -88.6 kJ per mole of atoms
**Raw total energy**: -7.93 eV per atom


This record from the Alexandria database describes a geometry-optimized Dy3Er4Mg2 structure. The functional is PBE-GGA.

Unit cell a=4.8831 b=7.7903 c=7.7463 alpha=107.66 beta=108.37 gamma=90.00
Atoms (fractional coordinates):
Mg 0.6695 0.9996 0.3390
Dy 0.1116 0.6656 0.2232
Er 0.2213 0.3316 0.4427
Dy 0.0000 0.0000 0.0000
Dy 0.8884 0.3344 0.7768
Er 0.5561 0.3347 0.1122
Er 0.7787 0.6684 0.5573
Er 0.4439 0.6653 0.8878
Mg 0.3305 0.0004 0.6610

**DOS at the Fermi energy**: 1.3207 states/eV per atom
**Formation energy from the elements**: 1.0 kJ per mole of atoms
**Raw total energy**: -3.91 eV per atom


This record from the Alexandria database describes a geometry-optimized Pm3Ag5Sn2 structure. The functional is PBE-GGA.

Unit cell a=6.1355 b=9.7623 c=9.7623 alpha=70.54 beta=71.68 gamma=71.68
Last column: magnetic moment on the atom in μB.
Atoms (fractional coordinates):
Ag 0.4575 0.7925 0.7925  0.00
Ag 0.6469 0.2784 0.4277  0.00
Sn 0.1196 0.6927 0.0681  0.00
Pm 0.2500 0.0000 0.0000  0.13
Ag 0.5425 0.2075 0.2075  0.00
Ag 0.8531 0.5723 0.7216  0.00
Ag 0.7500 0.5000 0.5000  0.00
Pm 0.3518 0.4434 0.8531  0.00
Sn 0.6196 0.0681 0.6927  0.00
Pm 0.6482 0.5566 0.1469  0.00
Pm 0.8518 0.8531 0.4434  0.00
Sn 0.8804 0.3073 0.9319  0.00
Ag 0.2500 0.5000 0.5000  0.00
Pm 0.1482 0.1469 0.5566  0.00
Pm 0.7500 0.0000 0.0000  0.13
Ag 0.9575 0.7925 0.7925  0.00
Sn 0.3804 0.9319 0.3073  0.00
Ag 0.1469 0.4277 0.2784  0.00
Ag 0.0425 0.2075 0.2075  0.00
Ag 0.3531 0.7216 0.5723  0.00

**DOS at the Fermi energy**: 0.5627 states/eV per atom
**Formation energy from the elements**: -24.9 kJ per mole of atoms
**Raw total energy**: -3.91 eV per atom


Ordered calculated density results: 6.62, 9.44, 2.41, 10.42, 3.38, 6.28, 7.55, 7.91; unit Mg/m³.